No. 1
Computed, not measured: a relaxed structure of LiMg4Pt2 at the GGA-PBE level of DFT.

Structure (POSCAR):
```
LiMg4Pt2
1.0
-2.940 -0.135 3.448
-3.346 -3.058 0.008
2.167 -5.719 4.604
Mg Pt Li
4 2 1
direct
0.384 0.384 0.847
0.130 0.130 0.610
0.870 0.870 0.390
0.616 0.616 0.153
0.745 0.745 0.766
0.255 0.255 0.234
0.000 0.000 0.000
```

crystal system: trigonal
space-group type: R-3m, No. 166
mass density: 6.4 g cm⁻³
magnetization: 0.00 Bohr magnetons per cell
VASP energy: -3.571 eV/atom

***

No. 2
Computed, not measured: a relaxed structure of Er2HfIn at the GGA-PBE level of DFT.

Structure (POSCAR):
```
Er2HfIn
1.0
4.658 0.000 0.000
0.000 4.652 0.000
0.000 0.000 4.652
In Er Hf
1 2 1
direct
0.500 0.000 0.000
0.000 0.000 0.500
0.000 0.500 0.000
0.500 0.500 0.500
```

crystal system: tetragonal
space-group type: P4/mmm, No. 123
mass density: 10.3 g cm⁻³
magnetization: 0.00 Bohr magnetons per cell
energy relative to the lowest polymorph listed for this composition: 0.032 eV per atom
VASP energy: -5.592 eV/atom

***

No. 3
Computed, not measured: a relaxed structure of BaNaCa2 at the GGA-PBE level of DFT.

Structure (POSCAR):
```
BaNaCa2
1.0
4.042 0.000 0.000
2.021 3.500 0.000
2.021 1.167 12.999
Ba Ca Na
1 2 1
direct
0.500 0.500 0.500
0.255 0.255 0.236
0.079 0.079 0.764
0.667 0.667 0.000
```

crystal system: trigonal
space-group type: R3m, No. 160
mass density: 2.2 g cm⁻³
magnetization: 0.00 Bohr magnetons per cell
energy relative to the lowest polymorph listed for this composition: 0.039 eV per atom
VASP energy: -1.737 eV/atom

***

No. 4
Computed, not measured: a relaxed structure of KRb2Ca at the GGA-PBE level of DFT.

Structure (POSCAR):
```
KRb2Ca
1.0
-7.645 1.923 -8.542
-1.457 -11.461 -1.276
-7.783 -4.683 -1.996
Rb K Ca
4 2 2
direct
0.375 0.377 0.750
0.875 0.873 0.750
0.623 0.125 0.250
0.127 0.625 0.250
0.500 0.500 0.000
0.250 0.750 0.500
0.750 0.250 0.500
0.000 0.000 0.000
```

crystal system: tetragonal
space-group type: I-42d, No. 122
mass density: 1.4 g cm⁻³
magnetization: 0.00 Bohr magnetons per cell
energy relative to the lowest polymorph listed for this composition: 0.123 eV per atom
VASP energy: -0.996 eV/atom